Material: Ga2SbP
Method: DFT, PBE
State: relaxed

```
Ga2SbP
1.0
0.000 3.430 3.430
3.430 0.000 3.430
3.430 3.430 0.000
Ga Sb P
2 1 1
Direct
0.750 0.750 0.750 Ga
0.250 0.250 0.250 Ga
0.500 0.500 0.500 Sb
0.000 0.000 0.000 P
```

## Properties
Distance to the lowest polymorph of the same formula = 2.23 eV per formula unit
SG = Fm-3m
Crystal system = cubic
E_form (uncorrected) = 0.3043 eV per atom



Material: RbPaInS4
Method: DFT, PBE
State: relaxed

```
RbPaInS4
1.0
9.579 0.000 0.000
-4.790 6.577 -0.943
0.000 -4.388 7.216
Rb In S Pa
2 2 8 2
Direct
0.931 0.862 0.181 Rb
0.069 0.138 0.819 Rb
0.500 0.500 0.500 In
0.000 0.500 0.500 In
0.249 0.499 0.694 S
0.751 0.501 0.695 S
0.751 0.501 0.306 S
0.346 0.041 0.771 S
0.654 0.959 0.229 S
0.305 0.959 0.229 S
0.249 0.499 0.305 S
0.695 0.041 0.771 S
0.500 0.000 0.000 Pa
0.500 0.000 0.500 Pa
```

## Properties
SG = Imma
Crystal system = orthorhombic
E_form (uncorrected) = -1.1499 eV per atom



Material: Pr3TePSe
Method: DFT, PBE
State: relaxed

```
Pr3TePSe
1.0
-2.744 1.936 2.671
-4.968 -6.938 -0.075
6.770 -1.813 8.266
Se Pr Te P
2 6 2 2
Direct
0.750 0.827 0.374 Se
0.250 0.173 0.626 Se
0.750 0.181 0.445 Pr
0.250 0.524 0.840 Pr
0.250 0.819 0.555 Pr
0.750 0.889 0.104 Pr
0.250 0.111 0.896 Pr
0.750 0.476 0.160 Pr
0.250 0.192 0.213 Te
0.750 0.808 0.787 Te
0.750 0.329 0.899 P
0.250 0.671 0.101 P
```

## Properties
SG = P2_1/m
Crystal system = monoclinic
E_form (uncorrected) = -1.3720 eV per atom



Material: ZrReMo
Method: DFT, PBE
State: relaxed

```
ZrReMo
1.0
-4.393 -0.335 0.428
-2.047 -3.775 -1.075
-1.726 -2.562 3.171
Mo Zr Re
1 1 1
Direct
0.000 0.000 0.000 Mo
0.250 0.250 0.250 Zr
0.500 0.500 0.500 Re
```

## Properties
Distance to the lowest polymorph of the same formula = 4.75 eV per formula unit
SG = F-43m
Formation energy = 1326.3 meV/atom
Crystal system = cubic



Material: Tb12YTm6
Method: DFT, PBE
State: relaxed

```
Tb12YTm6
1.0
-7.934 2.910 -0.894
-2.528 -7.309 -3.521
-2.247 -3.135 7.572
Tb Tm Y
12 6 1
Direct
0.988 0.798 0.641 Tb
0.202 0.359 0.012 Tb
0.541 0.434 0.777 Tb
0.641 0.988 0.798 Tb
0.459 0.566 0.223 Tb
0.223 0.459 0.566 Tb
0.798 0.641 0.988 Tb
0.359 0.012 0.202 Tb
0.566 0.223 0.459 Tb
0.012 0.202 0.359 Tb
0.434 0.777 0.541 Tb
0.777 0.541 0.434 Tb
0.096 0.694 0.258 Tm
0.904 0.306 0.742 Tm
0.306 0.742 0.904 Tm
0.742 0.904 0.306 Tm
0.694 0.258 0.096 Tm
0.258 0.096 0.694 Tm
0.000 0.000 0.000 Y
```

## Properties
Distance to the lowest polymorph of the same formula = 0.00 eV per formula unit
SG = R-3
Formation energy = 154.9 meV/atom
Crystal system = trigonal



Material: Pr5MgTe6
Method: DFT, PBE
State: relaxed

```
Pr5MgTe6
1.0
7.684 0.182 1.164
1.881 6.523 3.802
0.125 0.070 7.781
Te Mg Pr
6 1 5
Direct
0.764 0.078 0.313 Te
0.764 0.391 0.687 Te
0.756 0.769 0.000 Te
0.236 0.922 0.687 Te
0.244 0.231 0.000 Te
0.236 0.609 0.313 Te
0.000 0.000 0.000 Mg
0.500 0.176 0.648 Pr
0.000 0.334 0.331 Pr
0.000 0.666 0.669 Pr
0.500 0.500 0.000 Pr
0.500 0.824 0.352 Pr
```

## Properties
SG = C2/m
Crystal system = monoclinic
E_form (uncorrected) = -1.3183 eV per atom



Material: ErZrIn2
Method: DFT, PBE
State: relaxed

```
ErZrIn2
1.0
-0.029 0.900 -3.143
2.771 -1.662 -0.502
-4.727 -7.265 -2.035
In Er Zr
2 1 1
Direct
0.000 0.000 0.259 In
0.000 0.000 0.741 In
0.500 0.500 0.000 Er
0.500 0.500 0.500 Zr
```

## Properties
SG = P4/mmm
Formation energy = -352.0 meV/atom
Crystal system = tetragonal



Material: Cd2GeBr6
Method: DFT, PBE
State: relaxed

```
Cd2GeBr6
1.0
6.779 0.000 0.000
0.000 6.106 -3.525
0.000 0.000 7.051
Br Ge Cd
6 1 2
Direct
0.733 0.664 0.664 Br
0.733 0.336 0.000 Br
0.267 0.336 0.336 Br
0.267 0.664 0.000 Br
0.267 0.000 0.664 Br
0.733 0.000 0.336 Br
0.500 0.000 0.000 Ge
0.500 0.667 0.333 Cd
0.500 0.333 0.667 Cd
```

## Properties
SG = P-31m
Crystal system = trigonal
E_form (uncorrected) = -0.7541 eV per atom